(1)
ZnPRu2 | Alexandria via LeMat-Bulk | PBE | optimized geometry; crystal system = tetragonal; energy above the most stable polymorph in this dataset = 11.7 kJ per mole of atoms; electronic total energy = -25.8 eV per cell
1.0
4.1863 0.0000 0.0000
0.0000 4.1863 0.0000
0.0000 0.0000 2.9808
Ru P Zn
2 1 1
Direct
0.5000 0.0000 0.0000 Ru
0.0000 0.5000 0.0000 Ru
0.0000 0.0000 0.5000 P
0.5000 0.5000 0.5000 Zn

(2)
Cu2TcPt | Alexandria via LeMat-Bulk | PBE | optimized geometry; crystal system = tetragonal; energy above the most stable polymorph in this dataset = 23.5 kJ per mole of atoms; electronic total energy = -23.7 eV per cell
1.0
4.4417 0.0000 0.0000
0.0000 4.4417 0.0000
0.0000 0.0000 2.7558
Pt Cu Tc
1 2 1
Direct
0.5000 0.0000 0.5000 Pt
0.0000 0.0000 0.0000 Cu
0.5000 0.5000 0.0000 Cu
0.0000 0.5000 0.5000 Tc

(3)
Th3CoAuC | Alexandria via LeMat-Bulk | PBE | optimized geometry; crystal system = monoclinic; electronic total energy = -88.5 eV per cell
1.0
3.7564 0.0000 0.0000
0.0000 8.7250 0.2651
0.0000 -3.0664 8.2733
Au C Co Th
2 2 2 6
Direct
0.7500 0.8171 0.7877 Au
0.2500 0.1829 0.2123 Au
0.2500 0.6567 0.1603 C
0.7500 0.3433 0.8397 C
0.2500 0.0492 0.4447 Co
0.7500 0.9508 0.5553 Co
0.2500 0.5570 0.8587 Th
0.7500 0.4430 0.1413 Th
0.7500 0.2801 0.5337 Th
0.2500 0.1297 0.8226 Th
0.2500 0.7199 0.4663 Th
0.7500 0.8703 0.1774 Th

(4)
HoTlAg | Alexandria via LeMat-Bulk | PBE | optimized geometry; crystal system = monoclinic; electronic total energy = -20.9 eV per cell
1.0
-2.1191 -3.6768 0.7191
3.9754 -2.0110 1.4322
-1.3932 2.1735 6.9189
Ag Ho Tl
2 2 2
Direct
0.7502 0.2500 0.5039 Ag
0.2498 0.7500 0.4961 Ag
0.7487 0.7500 0.1939 Ho
0.2513 0.2500 0.8061 Ho
0.7510 0.7500 0.7699 Tl
0.2490 0.2500 0.2301 Tl

(5)
TlReMo2 | Alexandria via LeMat-Bulk | PBE | optimized geometry; crystal system = tetragonal; energy above the most stable polymorph in this dataset = 25.1 kJ per mole of atoms; electronic total energy = -33.8 eV per cell
1.0
-4.9590 0.1528 -0.9441
-2.5387 -3.1758 2.9960
3.4442 3.5802 0.9088
Re Mo Tl
1 2 1
Direct
0.5000 0.5000 0.0000 Re
0.0000 0.0000 0.0000 Mo
0.2500 0.7500 0.5000 Mo
0.7500 0.2500 0.5000 Tl

(6)
CeN2 | Alexandria via LeMat-Bulk | PBE | optimized geometry; crystal system = monoclinic; electronic total energy = -76.4 eV per cell
1.0
2.3732 5.9420 0.0102
-2.3732 5.9420 0.0102
0.0000 2.6946 5.2842
N Ce
6 3
Direct
0.9331 0.9331 0.7857 N
0.8169 0.8169 0.8984 N
0.6109 0.6109 0.7527 N
0.3735 0.3735 0.2757 N
0.1540 0.1540 0.1787 N
0.6084 0.6084 0.5362 N
0.1661 0.1661 0.5444 Ce
0.3706 0.3706 0.9090 Ce
0.5891 0.5891 0.1635 Ce

(7)
CeMgNi | Alexandria via LeMat-Bulk | PBE | optimized geometry; crystal system = orthorhombic; electronic total energy = -84.0 eV per cell
1.0
3.8112 0.0000 0.0000
0.0000 7.5905 0.0000
0.0000 0.0000 13.0124
Ce Ni Mg
6 6 6
Direct
0.0000 0.1403 0.2500 Ce
0.0000 0.2200 0.5416 Ce
0.0000 0.8597 0.7500 Ce
0.0000 0.7800 0.4584 Ce
0.0000 0.2200 0.9584 Ce
0.0000 0.7800 0.0416 Ce
0.5000 0.0613 0.4033 Ni
0.0000 0.5571 0.2500 Ni
0.5000 0.0613 0.0967 Ni
0.0000 0.4429 0.7500 Ni
0.5000 0.9387 0.5967 Ni
0.5000 0.9387 0.9033 Ni
0.5000 0.4376 0.1266 Mg
0.5000 0.4376 0.3734 Mg
0.5000 0.2077 0.7500 Mg
0.5000 0.5624 0.8734 Mg
0.5000 0.7923 0.2500 Mg
0.5000 0.5624 0.6266 Mg

(8)
Pr8Ho3Tm2 | Alexandria via LeMat-Bulk | PBE | optimized geometry; crystal system = monoclinic; electronic total energy = -58.3 eV per cell
1.0
5.7227 0.0000 0.7731
0.0004 7.7773 -0.0028
-1.3662 -3.8924 10.1008
Pr Ho Tm
8 3 2
Direct
0.4999 0.5980 0.7874 Pr
0.9998 0.1305 0.2611 Pr
0.5001 0.4020 0.2126 Pr
0.9997 0.3253 0.6506 Pr
0.4999 0.1896 0.7875 Pr
0.0003 0.6747 0.3494 Pr
0.5001 0.8104 0.2125 Pr
0.0002 0.8695 0.7389 Pr
0.5000 0.0000 0.0000 Ho
0.0000 0.7141 0.0001 Ho
0.0000 0.2859 0.9999 Ho
0.5004 0.7606 0.5215 Tm
0.4996 0.2394 0.4785 Tm